Below is a relaxed Pm4Dy3Ho2 crystal, with properties calculated at the GGA-PBE level.

a = 6.1897 Å, b = 6.1897 Å, c = 14.7842 Å
α = 110.51°, β = 110.51°, γ = 33.73°
Closest atoms and distances in Å follow each position.
Element x y z (fractional)
Pm: 0.1658 0.1658 0.1659  5 Dy 3.57-3.58, 3 Ho 3.57-3.58, 4 Pm 3.59
Pm: 0.2785 0.2785 0.6116  3 Dy 3.57-3.58, 3 Ho 3.58, 6 Pm 3.59-3.60
Pm: 0.7215 0.7215 0.3884  3 Dy 3.57-3.58, 3 Ho 3.58, 6 Pm 3.59-3.60
Pm: 0.8342 0.8342 0.8341  5 Dy 3.57-3.58, 3 Ho 3.57-3.58, 4 Pm 3.59
Dy: 0.3879 0.3879 0.0556  5 Dy 3.56-3.60, 5 Pm 3.57-3.58, 2 Ho 3.58
Dy: 0.5000 0.5000 0.5000  6 Pm 3.57-3.58, 2 Dy 3.59, 4 Ho 3.59
Dy: 0.6121 0.6121 0.9444  5 Dy 3.56-3.60, 5 Pm 3.57-3.58, 2 Ho 3.58
Ho: 0.0567 0.0567 0.7229  6 Pm 3.57-3.58, 4 Dy 3.58-3.59, 2 Ho 3.59
Ho: 0.9433 0.9433 0.2771  6 Pm 3.57-3.58, 4 Dy 3.58-3.59, 2 Ho 3.59

Output
**Space-group type**: C2/m, No. 12
**ΔE_f**: 1.48 kJ/mol of atoms
**Volume**: 32.5 Å³/atom